1.
18
Lattice="3.140 0.000 0.000 -0.281 6.109 0.000 -0.035 -2.207 8.882" Properties=species:S:1:pos:R:3 comment="Co2B2O5, optimized geometry, DFT PBE with a Hubbard U" e_tot_ev_per_atom=-7.063 pbc="T T T"
Co 0.633 0.530 3.174
Co 0.620 1.845 7.990
Co 2.204 2.056 0.892
Co 2.192 3.372 5.708
B 0.469 -1.109 7.372
B 0.425 3.386 3.159
B 2.400 0.515 5.723
B 2.355 5.011 1.510
O -0.091 4.607 2.685
O 0.626 -0.235 8.402
O 0.624 2.363 2.271
O 0.652 3.284 4.481
O 0.636 3.729 7.285
O 2.188 0.173 1.597
O 2.173 0.618 4.401
O 2.201 1.539 6.611
O 2.198 4.136 0.480
O 2.915 -0.705 6.197

2.
14
Lattice="-2.728 2.728 3.883 2.728 -2.728 3.883 2.728 2.728 -3.883" Properties=species:S:1:pos:R:3 comment="Co2BO4, optimized geometry, DFT PBE with a Hubbard U" e_tot_ev_per_atom=-6.545 pbc="T T T"
Co 0.000 0.000 0.000
Co 1.364 1.364 -1.942
Co 1.364 -1.364 1.942
Co 0.000 2.728 0.000
B 2.728 1.364 0.971
B 0.000 1.364 2.912
O 2.728 0.126 1.839
O 1.491 1.364 0.103
O 3.966 1.364 0.103
O 0.000 0.126 2.044
O 2.728 2.602 1.839
O -1.238 1.364 3.780
O 1.238 1.364 3.780
O 0.000 2.602 2.044

3.
5
Lattice="3.623 0.000 0.000 0.000 3.623 0.000 0.000 0.000 3.623" Properties=species:S:1:pos:R:3 comment="CoBO3, optimized geometry, DFT PBE with a Hubbard U" e_tot_ev_per_atom=-4.635 pbc="T T T"
Co 0.000 0.000 0.000
B 1.812 1.812 1.812
O 0.000 0.000 1.812
O 0.000 1.812 0.000
O 1.812 0.000 0.000

4.
24
Lattice="4.877 -6.295 0.000 4.877 6.295 0.000 -2.413 0.000 4.243" Properties=species:S:1:pos:R:3 comment="Co3BPO7, optimized geometry, DFT PBE with a Hubbard U" e_tot_ev_per_atom=-6.894 pbc="T T T"
Co 4.877 4.900 0.000
Co 4.845 1.804 0.259
Co 5.041 3.191 2.944
Co 4.845 -1.804 0.259
Co 4.877 -4.900 0.000
Co 5.041 -3.191 2.944
B 2.610 3.560 1.511
B 2.610 -3.560 1.511
P 0.158 0.000 2.928
P 4.603 0.000 3.073
O -1.386 0.000 3.057
O 2.172 3.496 2.820
O 0.596 0.000 1.443
O 0.704 1.266 3.628
O 3.979 3.600 1.265
O 0.704 -1.266 3.628
O 6.607 2.782 0.464
O 4.623 1.264 2.193
O 3.297 0.000 3.915
O 2.172 -3.496 2.820
O 4.623 -1.264 2.193
O 3.979 -3.600 1.265
O 5.831 0.000 4.018
O 6.607 -2.782 0.464

5.
46
Lattice="7.735 0.000 0.000 0.000 8.081 0.000 -4.361 0.000 8.334" Properties=species:S:1:pos:R:3 comment="CoB2S4O16, optimized geometry, DFT PBE with a Hubbard U" e_tot_ev_per_atom=-6.409 pbc="T T T"
Co 0.000 0.000 0.000
Co -2.181 4.040 4.167
B -0.565 0.426 5.234
B 1.616 3.615 1.067
B 1.758 4.466 7.267
B 3.939 7.655 3.100
S -0.724 5.073 1.404
S -2.904 7.048 5.571
S 2.750 1.210 1.387
S 0.570 2.831 5.554
S 2.804 5.250 2.780
S 0.623 6.871 6.946
S 6.278 1.032 2.763
S 4.097 3.008 6.930
O -0.784 1.150 1.501
O -2.964 2.890 5.668
O 6.338 5.191 2.666
O 4.157 6.930 6.833
O -2.183 5.875 5.151
O -0.002 6.246 0.984
O -1.982 0.180 5.620
O 0.198 3.861 1.453
O -0.380 0.624 3.775
O -2.561 3.416 7.942
O 1.889 0.249 0.708
O -0.292 3.791 4.875
O -0.283 1.632 6.004
O 1.898 2.408 1.837
O 2.513 4.712 1.360
O 0.332 7.409 5.527
O 1.618 5.629 3.473
O -0.563 6.492 7.640
O 3.936 1.589 0.694
O 1.756 2.451 4.861
O 3.041 0.671 2.807
O 0.861 3.369 6.974
O 1.476 5.673 6.497
O 3.656 6.448 2.330
O 3.665 4.289 3.459
O 1.485 7.832 7.626
O 5.934 4.665 0.392
O 3.754 7.456 4.559
O 3.175 4.220 6.881
O 5.356 7.901 2.714
O 3.376 1.835 7.350
O 5.556 2.205 3.183

6.
11
Lattice="4.440 -2.628 0.000 4.440 2.628 0.000 -2.990 0.000 5.363" Properties=species:S:1:pos:R:3 comment="CoSn2B2O6, optimized geometry, DFT PBE with a Hubbard U" e_tot_ev_per_atom=-6.727 pbc="T T T"
Co 0.000 0.000 0.000
Sn -0.184 0.000 3.642
Sn 6.073 0.000 1.721
B 3.282 0.000 1.233
B 2.607 0.000 4.130
O 1.877 1.176 3.928
O 1.980 0.000 0.832
O 4.012 1.176 1.435
O 1.877 -1.176 3.928
O 3.909 0.000 4.531
O 4.012 -1.176 1.435

7.
10
Lattice="-1.699 1.699 10.661 1.699 -1.699 10.661 1.699 1.699 -10.661" Properties=species:S:1:pos:R:3 comment="Tb2TmCo2B2O3, optimized geometry, DFT PBE with a Hubbard U" e_tot_ev_per_atom=-6.887 pbc="T T T"
Tb 0.000 0.000 2.899
Tb 0.000 0.000 18.423
Tm 0.000 0.000 10.661
Co 1.699 0.000 5.330
Co 0.000 1.699 5.330
B 0.000 0.000 6.186
B 0.000 0.000 15.136
O 0.000 0.000 0.000
O 0.000 0.000 8.513
O 0.000 0.000 12.808

8.
10
Lattice="-1.704 1.704 10.801 1.704 -1.704 10.801 1.704 1.704 -10.801" Properties=species:S:1:pos:R:3 comment="TbY2Co2B2O3, optimized geometry, DFT PBE with a Hubbard U" e_tot_ev_per_atom=-7.243 pbc="T T T"
Tb 0.000 0.000 0.000
Y 0.000 0.000 7.822
Y 0.000 0.000 13.781
Co 1.704 0.000 5.401
Co 0.000 1.704 5.401
B 0.000 0.000 4.542
B 0.000 0.000 17.061
O 0.000 0.000 2.226
O 0.000 0.000 10.801
O 0.000 0.000 19.377

9.
10
Lattice="-1.698 1.698 10.638 1.698 -1.698 10.638 1.698 1.698 -10.638" Properties=species:S:1:pos:R:3 comment="Y2TmCo2B2O3, optimized geometry, DFT PBE with a Hubbard U" e_tot_ev_per_atom=-7.244 pbc="T T T"
Y 0.000 0.000 2.901
Y 0.000 0.000 18.375
Tm 0.000 0.000 10.638
Co 1.698 0.000 5.319
Co 0.000 1.698 5.319
B 0.000 0.000 6.181
B 0.000 0.000 15.095
O 0.000 0.000 0.000
O 0.000 0.000 8.490
O 0.000 0.000 12.786

10.
68
Lattice="8.478 0.000 0.000 0.000 7.574 0.000 -7.808 0.000 9.363" Properties=species:S:1:pos:R:3 comment="YCoB5O10, optimized geometry, DFT PBE with a Hubbard U" e_tot_ev_per_atom=-8.025 pbc="T T T"
Y -1.368 1.371 2.241
Y -5.272 2.416 6.923
Y 5.942 5.158 2.440
Y 2.038 6.203 7.122
Co -2.819 4.519 8.141
Co 1.085 6.842 3.459
Co -0.415 0.732 5.904
Co 3.489 3.055 1.222
B -4.010 5.119 5.651
B -0.106 6.242 0.970
B -6.447 4.554 9.276
B -2.543 6.807 4.594
B 1.926 0.252 0.525
B -1.978 3.535 5.207
B 0.884 4.340 2.370
B -3.019 7.022 7.051
B -3.070 1.431 8.528
B 0.833 2.356 3.846
B -0.163 5.218 5.517
B 3.741 6.143 0.835
B 3.690 0.553 2.312
B -0.214 3.234 6.993
B 2.648 4.039 4.157
B -1.256 7.322 8.838
B 3.214 0.767 4.769
B 7.118 3.020 0.088
B 0.776 1.332 8.393
B 4.680 2.455 3.712
O -7.443 5.523 9.157
O -3.539 5.838 4.476
O -6.338 0.840 8.609
O -2.434 2.947 3.928
O -5.818 4.213 8.140
O -1.915 7.148 3.458
O -0.173 5.336 2.135
O -4.077 6.025 6.817
O -3.119 3.992 6.069
O 0.785 7.370 1.387
O 1.662 4.030 1.138
O -2.242 7.331 5.820
O -3.602 0.711 7.488
O 0.302 3.076 2.806
O -1.192 4.733 4.767
O 2.712 6.628 0.086
O 0.224 1.137 4.010
O -3.680 2.650 8.692
O 2.780 1.131 1.316
O -1.124 2.656 5.997
O 1.794 4.918 3.366
O -2.110 6.443 8.047
O 4.350 4.924 0.671
O 0.446 6.437 5.353
O -2.042 0.946 9.277
O 1.862 2.841 4.596
O 0.368 4.498 6.557
O 4.272 6.863 1.876
O 2.912 0.243 3.543
O -0.992 3.544 8.225
O -0.115 0.205 7.976
O 3.789 3.582 3.294
O 4.747 1.549 2.546
O 0.843 2.238 7.228
O 2.585 0.426 5.905
O 6.489 3.361 1.224
O 3.105 4.627 5.435
O 7.008 6.734 0.754
O 4.210 1.736 4.888
O 8.113 2.051 0.206